No. 1
! Li8Mg3Ag (PBE, relaxed); values from VASP
&SYSTEM
  ibrav = 0, nat = 12, ntyp = 3
/
ATOMIC_SPECIES
Li 6.94 Li.upf
Mg 24.30 Mg.upf
Ag 107.87 Ag.upf
CELL_PARAMETERS angstrom
-3.768 3.768 4.889
3.768 -3.768 4.889
3.768 3.768 -4.889
ATOMIC_POSITIONS crystal
Li 0.140 0.140 0.742
Li 0.235 0.711 0.000
Li 0.289 0.289 0.524
Li 0.398 0.398 0.258
Li 0.602 0.860 0.000
Li 0.711 0.235 0.000
Li 0.765 0.765 0.476
Li 0.860 0.602 0.000
Mg 0.000 0.000 0.000
Mg 0.250 0.750 0.500
Mg 0.750 0.250 0.500
Ag 0.500 0.500 0.000
! DFT formation energy: 0.16 eV/atom
! Total energy: -1.752 eV/atom

No. 2
! Hg2As2O5 (PBE, relaxed); values from VASP
&SYSTEM
  ibrav = 0, nat = 9, ntyp = 3
/
ATOMIC_SPECIES
Hg 200.59 Hg.upf
As 74.92 As.upf
O 16.00 O.upf
CELL_PARAMETERS angstrom
5.924 -2.022 0.000
5.924 2.022 0.000
-1.164 0.000 6.643
ATOMIC_POSITIONS crystal
Hg 0.112 0.112 0.032
Hg 0.888 0.888 0.968
As 0.338 0.338 0.431
As 0.662 0.662 0.569
O 0.197 0.197 0.528
O 0.298 0.298 0.165
O 0.500 0.500 0.500
O 0.702 0.702 0.835
O 0.803 0.803 0.472
! Total energy: -4.593 eV/atom

No. 3
! NdSmErMg (PBE, relaxed); values from VASP
&SYSTEM
  ibrav = 0, nat = 16, ntyp = 4
/
ATOMIC_SPECIES
Nd 144.24 Nd.upf
Sm 150.36 Sm.upf
Er 167.26 Er.upf
Mg 24.30 Mg.upf
CELL_PARAMETERS angstrom
7.883 0.000 0.000
0.000 7.883 0.000
0.000 0.000 7.883
ATOMIC_POSITIONS crystal
Nd 0.000 0.000 0.000
Nd 0.000 0.500 0.500
Nd 0.500 0.000 0.500
Nd 0.500 0.500 0.000
Sm 0.000 0.000 0.500
Sm 0.000 0.500 0.000
Sm 0.500 0.000 0.000
Sm 0.500 0.500 0.500
Er 0.250 0.250 0.750
Er 0.250 0.750 0.250
Er 0.750 0.250 0.250
Er 0.750 0.750 0.750
Mg 0.250 0.250 0.250
Mg 0.250 0.750 0.750
Mg 0.750 0.250 0.750
Mg 0.750 0.750 0.250
! DFT formation energy: 0.02 eV/atom
! Total energy: -3.892 eV/atom
! Excess energy over the best structure of this formula in the dataset: 0.0481 eV per atom

What is the total energy in the third record?
-3.892 eV/atom